Run one
The following is a DFT calculation (PBE) of a relaxed structure of Tb7Pr12Tm.

Cell lengths 19.7342, 19.7342, 6.3003 Å; angles 90.00, 90.00, 120.00 degrees
Last column: nearest neighbours and their distance in Å.
Space group R-3 (No. 148, hexagonal axes)
Symmetry-distinct sites (fractional):
Tb 0.0000 0.0000 0.0000 [3 per cell]  2 Tm 3.15, 6 Tb 3.35
Tb 0.0814 0.1632 0.2958 [18 per cell]  1 Tm 3.07, 1 Tb 3.35, 4 Pr 3.36-3.41
Pr 0.9999 0.4115 0.9991 [18 per cell]  2 Tb 3.40, 3 Pr 3.40-3.49
Pr 0.0980 0.5487 0.4669 [18 per cell]  4 Tb 3.36-3.62, 1 Pr 3.38
Tm 0.0000 0.0000 0.5000 [3 per cell]  8 Tb 3.07-3.15

Computed properties:
volume = 35.41 Å³ per atom
mass density = 6.97 Mg/m³
crystal system = trigonal

=====

Run two
The following is a DFT calculation (PBE) of a relaxed structure of Tb7Pr12Tm.

Cell lengths 12.3882, 12.3882, 15.8016 Å; angles 90.00, 90.00, 120.00 degrees
Last column: nearest neighbours and their distance in Å.
Space group R-3 (No. 148, hexagonal axes)
Symmetry-distinct sites (fractional):
Tb 0.0000 0.0000 0.0000 [3 per cell]  6 Pr 3.32
Tb 0.0546 0.8681 0.3008 [18 per cell]  3 Tb 3.45-3.56, 6 Pr 3.67-3.78, 1 Tm 3.76
Pr 0.0215 0.5750 0.2207 [18 per cell]  3 Pr 3.28-3.42, 1 Tm 3.54, 1 Tb 3.67
Pr 0.0611 0.4690 0.5796 [18 per cell]  4 Pr 3.22-3.42, 1 Tb 3.32
Tm 0.0000 0.0000 0.5000 [3 per cell]  6 Pr 3.54, 6 Tb 3.76

Computed properties:
volume = 35.00 Å³ per atom
mass density = 7.05 Mg/m³
crystal system = trigonal

=====

Energies, relative to the best one, in kJ/mol of atoms: run one 0.0; run two 1.0.

=====

Run one
The following is a DFT calculation (PBE) of a relaxed structure of Tb6PrTm.

Cell lengths 5.0542, 5.0542, 10.0868 Å; angles 90.00, 90.00, 90.00 degrees
Last column: nearest neighbours and their distance in Å.
Space group P4/mmm (No. 123)
Symmetry-distinct sites (fractional):
Tb 0.0000 0.0000 0.0000 [1 per cell]  8 Tb 3.54, 4 Tm 3.57
Tb 0.0000 0.0000 0.5000 [1 per cell]  4 Pr 3.57, 8 Tb 3.60
Tb 0.0000 0.5000 0.2462 [4 per cell]  8 Tb 3.54-3.60, 2 Tm 3.54, 2 Pr 3.60
Pr 0.5000 0.5000 0.5000 [1 per cell]  12 Tb 3.57-3.60
Tm 0.5000 0.5000 0.0000 [1 per cell]  12 Tb 3.54-3.57

Computed properties:
volume = 32.21 Å³ per atom
mass density = 8.14 Mg/m³
crystal system = tetragonal

=====

Run two
The following is a DFT calculation (PBE) of a relaxed structure of Tb6PrTm.

Cell lengths 6.5570, 6.7344, 6.9710 Å; angles 117.83, 104.57, 90.23 degrees
Last column: nearest neighbours and their distance in Å.
Space group P-1 (No. 2)
Symmetry-distinct sites (fractional):
Tb 0.2261 0.4022 0.4689 [2 per cell]  6 Tb 3.30-3.68, 1 Pr 3.43, 1 Tm 3.59
Tb 0.2463 0.9554 0.9973 [2 per cell]  5 Tb 3.29-3.68, 1 Tm 3.47, 1 Pr 3.50
Tb 0.2675 0.9214 0.5160 [2 per cell]  5 Tb 3.29-3.65, 1 Tm 3.36
Pr 0.5000 0.5000 0.0000 [1 per cell]  2 Tm 3.28, 4 Tb 3.43-3.50
Tm 0.0000 0.5000 0.0000 [1 per cell]  2 Pr 3.28, 6 Tb 3.36-3.59

Computed properties:
volume = 32.60 Å³ per atom
mass density = 8.04 Mg/m³
crystal system = triclinic

=====

Energies, relative to the best one, in kJ/mol of atoms: run one 0.0; run two 17.0.

=====

Run one
The following is a DFT calculation (PBE) of a relaxed structure of Tb2Pr5Tm12.

Cell lengths 18.2877, 7.0248, 10.3420 Å; angles 90.00, 111.22, 90.00 degrees
Last column: nearest neighbours and their distance in Å.
Space group C2/m (No. 12)
Symmetry-distinct sites (fractional):
Tb 0.0000 0.2269 0.0000 [4 per cell]  2 Tm 3.08, 1 Tb 3.19
Pr 0.0000 0.5000 0.5000 [2 per cell]  2 Tm 2.82
Pr 0.1820 0.0000 0.2108 [4 per cell]  2 Pr 3.53, 2 Tb 3.62, 8 Tm 3.64-3.85
Pr 0.1878 0.5000 0.1814 [4 per cell]  5 Tm 3.28-3.54, 2 Pr 3.53
Tm 0.0022 0.0000 0.6743 [4 per cell]  7 Tm 3.33-3.68
Tm 0.0248 0.5000 0.2458 [4 per cell]  1 Pr 2.82, 2 Tb 3.08
Tm 0.1574 0.2529 0.8674 [8 per cell]  6 Tm 3.33-3.63, 2 Pr 3.53-3.54, 1 Tb 3.61
Tm 0.1625 0.2470 0.5200 [8 per cell]  6 Tm 3.37-3.63, 4 Pr 3.40-3.77

Computed properties:
volume = 32.59 Å³ per atom
mass density = 8.18 Mg/m³
crystal system = monoclinic

=====

Run two
The following is a DFT calculation (PBE) of a relaxed structure of Tb2Pr5Tm12.

Cell lengths 6.1525, 9.4097, 11.2236 Å; angles 90.10, 100.64, 108.88 degrees
Last column: nearest neighbours and their distance in Å.
Space group P-1 (No. 2)
Symmetry-distinct sites (fractional):
Tb 0.2339 0.1557 0.4730 [2 per cell]  9 Tm 3.51-3.56, 1 Tb 3.53, 2 Pr 3.58-3.59
Pr 0.0255 0.6849 0.0543 [2 per cell]  10 Tm 3.54-3.58, 2 Pr 3.57-3.58
Pr 0.2895 0.5267 0.5800 [2 per cell]  8 Tm 3.54-3.60, 2 Pr 3.56-3.57, 2 Tb 3.58-3.59
Pr 0.5000 0.0000 0.0000 [1 per cell]  10 Tm 3.55-3.57, 2 Pr 3.57
Tm 0.0802 0.0524 0.1606 [2 per cell]  1 Tb 3.51, 7 Tm 3.52-3.60, 4 Pr 3.55-3.58
Tm 0.1305 0.4193 0.2623 [2 per cell]  6 Tm 3.53-3.60, 5 Pr 3.55-3.57, 1 Tb 3.56
Tm 0.1889 0.7934 0.3691 [2 per cell]  3 Tb 3.51-3.56, 6 Tm 3.52-3.60, 3 Pr 3.54-3.60
Tm 0.3424 0.8960 0.6841 [2 per cell]  7 Tm 3.52-3.56, 3 Tb 3.53-3.56, 2 Pr 3.55-3.56
Tm 0.3951 0.2623 0.7877 [2 per cell]  7 Tm 3.53-3.58, 1 Tb 3.54, 4 Pr 3.54-3.56
Tm 0.4490 0.6326 0.8946 [2 per cell]  5 Pr 3.54-3.58, 7 Tm 3.54-3.58

Computed properties:
volume = 31.73 Å³ per atom
mass density = 8.40 Mg/m³
crystal system = triclinic

=====

Energies, relative to the best one, in kJ/mol of atoms: run one 14.9; run two 0.0.

=====

Run one
The following is a DFT calculation (PBE) of a relaxed structure of Tb2PrTm8.

Cell lengths 5.4188, 8.0218, 15.9468 Å; angles 90.00, 90.00, 90.00 degrees
Last column: nearest neighbours and their distance in Å.
Space group Immm (No. 71)
Symmetry-distinct sites (fractional):
Tb 0.0000 0.0000 0.1995 [4 per cell]  10 Tm 3.31-3.58
Pr 0.0000 0.0000 0.5000 [2 per cell]  8 Tm 3.25-3.60
Tm 0.0000 0.2053 0.0000 [4 per cell]  7 Tm 3.29-3.52, 2 Tb 3.58, 2 Pr 3.60
Tm 0.0000 0.2925 0.3590 [8 per cell]  1 Pr 3.25, 3 Tb 3.31-3.46, 6 Tm 3.33-3.60
Tm 0.0000 0.5000 0.1628 [4 per cell]  2 Tb 3.49, 8 Tm 3.51-3.60, 2 Pr 3.75

Computed properties:
volume = 31.51 Å³ per atom
mass density = 8.67 Mg/m³
crystal system = orthorhombic

=====

Run two
The following is a DFT calculation (PBE) of a relaxed structure of Tb2PrTm8.

Cell lengths 17.9625, 4.9793, 7.8745 Å; angles 90.00, 105.27, 90.00 degrees
Last column: nearest neighbours and their distance in Å.
Space group C2/m (No. 12)
Symmetry-distinct sites (fractional):
Tb 0.2278 0.0000 0.1370 [4 per cell]  10 Tm 3.50-3.52, 2 Tb 3.52
Pr 0.0000 0.5000 0.5000 [2 per cell]  12 Tm 3.53-3.54
Tm 0.0455 0.0000 0.2256 [4 per cell]  9 Tm 3.50-3.54, 1 Tb 3.52, 2 Pr 3.53
Tm 0.0910 0.5000 0.9570 [4 per cell]  8 Tm 3.50-3.54, 3 Tb 3.52, 1 Pr 3.54
Tm 0.1374 0.0000 0.6828 [4 per cell]  7 Tm 3.50-3.54, 3 Tb 3.50-3.52, 2 Pr 3.53
Tm 0.1822 0.5000 0.4081 [4 per cell]  8 Tm 3.50-3.53, 3 Tb 3.51-3.52, 1 Pr 3.53

Computed properties:
volume = 30.88 Å³ per atom
mass density = 8.85 Mg/m³
crystal system = monoclinic

=====

Energies, relative to the best one, in kJ/mol of atoms: run one 8.7; run two 0.0.

=====

Run one
The following is a DFT calculation (PBE) of a relaxed structure of Tb4Pr3Y2.

Cell lengths 15.7930, 3.6170, 10.8213 Å; angles 90.00, 103.55, 90.00 degrees
Last column: nearest neighbours and their distance in Å.
Space group C2/m (No. 12)
Symmetry-distinct sites (fractional):
Tb 0.0009 0.0000 0.1685 [4 per cell]  5 Pr 3.59-3.62, 5 Tb 3.60-3.64, 2 Y 3.63
Tb 0.1668 0.5000 0.3898 [4 per cell]  3 Y 3.58-3.62, 6 Tb 3.60-3.62, 3 Pr 3.61-3.62
Pr 0.0000 0.0000 0.5000 [2 per cell]  6 Tb 3.59-3.62, 4 Y 3.60, 2 Pr 3.62
Pr 0.1656 0.5000 0.0556 [4 per cell]  5 Tb 3.61-3.62, 4 Pr 3.62-3.65, 3 Y 3.62-3.63
Y 0.1669 0.5000 0.7210 [4 per cell]  5 Tb 3.58-3.63, 5 Pr 3.60-3.63, 2 Y 3.62

Computed properties:
volume = 33.38 Å³ per atom
mass density = 6.83 Mg/m³
crystal system = monoclinic

=====

Run two
The following is a DFT calculation (PBE) of a relaxed structure of Tb4Pr3Y2.

Cell lengths 16.7637, 11.8126, 6.1152 Å; angles 90.00, 97.76, 90.00 degrees
Last column: nearest neighbours and their distance in Å.
Space group C2/c (No. 15)
Symmetry-distinct sites (fractional):
Tb 0.0510 0.1302 0.0223 [8 per cell]  5 Pr 3.41-3.72, 1 Y 3.46, 3 Tb 3.46-3.53
Tb 0.2182 0.3654 0.8521 [8 per cell]  1 Tb 3.36, 5 Pr 3.45-3.73, 3 Y 3.46-3.53
Pr 0.0000 0.3867 0.7500 [4 per cell]  6 Y 3.44-3.70, 4 Tb 3.51-3.63
Pr 0.1667 0.1079 0.5834 [8 per cell]  8 Tb 3.41-3.73, 2 Y 3.60-3.61
Y 0.1164 0.3727 0.3088 [8 per cell]  5 Pr 3.44-3.70, 4 Tb 3.46-3.53

Computed properties:
volume = 33.33 Å³ per atom
mass density = 6.84 Mg/m³
crystal system = monoclinic

=====

Energies, relative to the best one, in kJ/mol of atoms: run one 0.0; run two 7.7.

=====

Run one
The following is a DFT calculation (PBE) of a relaxed structure of Tb3Pr3Y5.

Cell lengths 9.7262, 9.7262, 5.4367 Å; angles 90.00, 90.00, 120.00 degrees
Last column: nearest neighbours and their distance in Å.
Space group P-62m (No. 189)
Symmetry-distinct sites (fractional):
Tb 0.0000 0.4678 0.0000 [3 per cell]  2 Pr 3.16, 2 Y 3.37
Pr 0.0000 0.6332 0.5000 [3 per cell]  4 Y 3.09-3.19, 2 Tb 3.16
Y 0.0000 0.2631 0.5000 [3 per cell]  2 Pr 3.19, 2 Tb 3.37
Y 0.3333 0.6667 0.5000 [2 per cell]  3 Pr 3.09

Computed properties:
volume = 40.49 Å³ per atom
mass density = 5.01 Mg/m³
crystal system = hexagonal

=====

Run two
The following is a DFT calculation (PBE) of a relaxed structure of Tb3Pr3Y5.

Cell lengths 9.7377, 9.7377, 5.5660 Å; angles 90.00, 90.00, 120.00 degrees
Last column: nearest neighbours and their distance in Å.
Space group P-62m (No. 189)
Symmetry-distinct sites (fractional):
Tb 0.0000 0.7287 0.0000 [3 per cell]  2 Pr 3.14, 2 Y 3.21
Pr 0.0000 0.5789 0.5000 [3 per cell]  2 Tb 3.14, 2 Y 3.47
Y 0.0000 0.3664 0.0000 [3 per cell]  2 Y 3.10, 2 Tb 3.21, 2 Pr 3.47
Y 0.3333 0.6667 0.0000 [2 per cell]  3 Y 3.10

Computed properties:
volume = 41.55 Å³ per atom
mass density = 4.88 Mg/m³
crystal system = hexagonal

=====

Energies, relative to the best one, in kJ/mol of atoms: run one 3.2; run two 0.0.

=====

Run one
The following is a DFT calculation (PBE) of a relaxed structure of Tb4PrY.

Cell lengths 3.5849, 6.2102, 9.5031 Å; angles 77.33, 79.26, 73.45 degrees
Last column: nearest neighbours and their distance in Å.
Space group P-1 (No. 2)
Symmetry-distinct sites (fractional):
Tb 0.1669 0.4986 0.1680 [2 per cell]  7 Tb 3.58-3.61, 2 Y 3.58-3.59, 3 Pr 3.59-3.60
Tb 0.1677 0.9995 0.6645 [2 per cell]  7 Tb 3.55-3.61, 3 Y 3.58-3.59, 2 Pr 3.61
Pr 0.5000 0.0000 0.0000 [1 per cell]  2 Pr 3.58, 10 Tb 3.59-3.61
Y 0.5000 0.5000 0.5000 [1 per cell]  10 Tb 3.58-3.59, 2 Y 3.58

Computed properties:
volume = 32.69 Å³ per atom
mass density = 7.33 Mg/m³
crystal system = triclinic

=====

Run two
The following is a DFT calculation (PBE) of a relaxed structure of Tb4PrY.

Cell lengths 9.3747, 9.3747, 9.3747 Å; angles 90.00, 90.00, 90.00 degrees
Last column: nearest neighbours and their distance in Å.
Space group F-43m (No. 216)
Symmetry-distinct sites (fractional):
Tb 0.1254 0.1254 0.1254 [16 per cell]  6 Tb 3.30-3.32
Pr 0.2500 0.2500 0.7500 [4 per cell]  12 Tb 3.89, 4 Y 4.06
Y 0.0000 0.0000 0.5000 [4 per cell]  12 Tb 3.89, 4 Pr 4.06

Computed properties:
volume = 34.33 Å³ per atom
mass density = 6.98 Mg/m³
crystal system = cubic

=====

Energies, relative to the best one, in kJ/mol of atoms: run one 0.0; run two 22.7.

=====

Run one
The following is a DFT calculation (PBE) of a relaxed structure of Tb5Pr2Y4.

Cell lengths 24.0228, 3.4802, 8.8112 Å; angles 90.00, 96.47, 90.00 degrees
Last column: nearest neighbours and their distance in Å.
Space group C2/m (No. 12)
Symmetry-distinct sites (fractional):
Tb 0.0000 0.0000 0.0000 [2 per cell]  6 Tb 3.48-3.86, 4 Y 3.68, 4 Pr 3.77
Tb 0.1412 0.5000 0.1231 [4 per cell]  3 Y 3.28-3.57, 1 Pr 3.41, 5 Tb 3.46-3.62
Tb 0.2338 0.5000 0.8262 [4 per cell]  1 Pr 3.37, 7 Tb 3.46-3.62, 3 Y 3.56-3.68
Pr 0.0931 0.5000 0.7444 [4 per cell]  4 Y 3.35-3.74, 2 Tb 3.37-3.41, 2 Pr 3.48
Y 0.0455 0.5000 0.3611 [4 per cell]  1 Tb 3.28, 2 Pr 3.35-3.44, 5 Y 3.46-3.67
Y 0.1781 0.0000 0.4733 [4 per cell]  6 Y 3.48-3.85, 5 Tb 3.56-3.68, 2 Pr 3.74

Computed properties:
volume = 33.27 Å³ per atom
mass density = 6.50 Mg/m³
crystal system = monoclinic

=====

Run two
The following is a DFT calculation (PBE) of a relaxed structure of Tb5Pr2Y4.

Cell lengths 3.5249, 9.1092, 23.4837 Å; angles 90.00, 90.00, 90.00 degrees
Last column: nearest neighbours and their distance in Å.
Space group Immm (No. 71)
Symmetry-distinct sites (fractional):
Tb 0.0000 0.0000 0.0000 [2 per cell]  4 Y 3.33, 2 Tb 3.52
Tb 0.0000 0.3063 0.3587 [8 per cell]  1 Pr 3.43, 3 Y 3.45-3.49, 3 Tb 3.52-3.53
Pr 0.0000 0.5000 0.2334 [4 per cell]  1 Y 3.17, 2 Tb 3.43, 2 Pr 3.52
Y 0.0000 0.1893 0.5000 [4 per cell]  4 Tb 3.33-3.49, 7 Y 3.38-3.52
Y 0.0000 0.5000 0.0982 [4 per cell]  1 Pr 3.17, 6 Y 3.38-3.52, 4 Tb 3.45

Computed properties:
volume = 34.28 Å³ per atom
mass density = 6.31 Mg/m³
crystal system = orthorhombic

=====

Energies, relative to the best one, in kJ/mol of atoms: run one 0.0; run two 6.3.

=====

Run one
The following is a DFT calculation (PBE) of a relaxed structure of Tb7Pr12Y.

Cell lengths 12.2929, 12.2929, 16.2219 Å; angles 90.00, 90.00, 120.00 degrees
Last column: nearest neighbours and their distance in Å.
Space group R-3 (No. 148, hexagonal axes)
Symmetry-distinct sites (fractional):
Tb 0.0000 0.0000 0.0000 [3 per cell]  6 Pr 3.54
Tb 0.0574 0.4693 0.0819 [18 per cell]  4 Pr 3.26-3.63, 1 Tb 3.27, 1 Y 3.32
Pr 0.0210 0.5724 0.7239 [18 per cell]  4 Tb 3.26-3.54, 2 Pr 3.62-3.63
Pr 0.0580 0.8701 0.7903 [18 per cell]  7 Pr 3.51-3.88, 3 Tb 3.63-3.81
Y 0.0000 0.0000 0.5000 [3 per cell]  6 Tb 3.32

Computed properties:
volume = 35.38 Å³ per atom
mass density = 6.79 Mg/m³
crystal system = trigonal

=====

Run two
The following is a DFT calculation (PBE) of a relaxed structure of Tb7Pr12Y.

Cell lengths 19.7590, 19.7590, 6.3124 Å; angles 90.00, 90.00, 120.00 degrees
Last column: nearest neighbours and their distance in Å.
Space group R-3m (No. 166, hexagonal axes)
Symmetry-distinct sites (fractional):
Tb 0.0000 0.0000 0.0000 [3 per cell]  2 Y 3.16, 6 Tb 3.36
Tb 0.0820 0.1640 0.2939 [18 per cell]  1 Y 3.09, 4 Pr 3.35-3.42, 1 Tb 3.36
Pr 0.0000 0.4116 0.0000 [18 per cell]  2 Tb 3.39, 3 Pr 3.40-3.50
Pr 0.0980 0.5490 0.4661 [18 per cell]  4 Tb 3.35-3.62, 1 Pr 3.38
Y 0.0000 0.0000 0.5000 [3 per cell]  8 Tb 3.09-3.16

Computed properties:
volume = 35.57 Å³ per atom
mass density = 6.75 Mg/m³
crystal system = trigonal

=====

Energies, relative to the best one, in kJ/mol of atoms: run one 0.0; run two 0.7.